Density functional theory data (GGA-PBE) for a relaxed Ho7InPd4 crystal.

Properties
Volume   25.084 A^3/atom
E_form   -44.0 kJ per mole of atoms
Electronic total energy   -5.09 eV per atom

```
data_Ho7InPd4
_chemical_formula_sum 'Ho14 In2 Pd8'
_symmetry_space_group_name_H-M 'C 1 2/m 1'
_symmetry_Int_Tables_number 12
_cell_length_a 13.5782
_cell_length_b 5.6111
_cell_length_c 9.5977
_cell_angle_alpha 90.00
_cell_angle_beta 124.58
_cell_angle_gamma 90.00
loop_
_symmetry_equiv_pos_as_xyz
'x,y,z'
'-x,-y,-z'
'-x,y,-z'
'x,-y,z'
'x+1/2,y+1/2,z'
'-x+1/2,-y+1/2,-z'
'-x+1/2,y+1/2,-z'
'x+1/2,-y+1/2,z'
loop_
_atom_site_label
_atom_site_type_symbol
_atom_site_fract_x
_atom_site_fract_y
_atom_site_fract_z
Ho1 Ho 0.0000 0.0000 0.0000
Ho2 Ho 0.0716 0.5000 0.3795
Ho3 Ho 0.1901 0.0000 0.6382
Ho4 Ho 0.2069 0.5000 0.8840
In1 In 0.0000 0.5000 0.0000
Pd1 Pd 0.0610 0.0000 0.7689
Pd2 Pd 0.2008 0.0000 0.3393
```